Entry 1:
PBE MgCoRe, optimized geometry; E above lowest polymorph = 1.12 eV/f.u.; crystal system = hexagonal; E_form = 0.438 eV/atom; D(E_F) = 5.03 states/eV per cell
1.0
4.2624 0.0000 0.0000
-2.1312 3.6914 0.0000
0.0000 0.0000 5.3834
Mg Co Re
2 2 2
Direct
0.0000 0.0000 0.0000 Mg
0.0000 0.0000 0.5000 Mg
0.3333 0.6667 0.2500 Co
0.6667 0.3333 0.7500 Co
0.3333 0.6667 0.7500 Re
0.6667 0.3333 0.2500 Re


Entry 2:
PBE Ac5La2Sn4, optimized geometry; crystal system = orthorhombic; E_form = -0.060 eV/atom; D(E_F) = 10.45 states/eV per cell
1.0
-2.5399 5.4154 9.4014
2.5399 -5.4154 9.4014
2.5399 5.4154 -9.4014
Ac La Sn
5 2 4
Direct
0.0000 0.0000 0.0000 Ac
0.1459 0.3316 0.8143 Ac
0.4826 0.6684 0.8143 Ac
0.5174 0.3316 0.1857 Ac
0.8541 0.6684 0.1857 Ac
0.1195 0.6195 0.5000 La
0.8805 0.3805 0.5000 La
0.2172 0.5000 0.7172 Sn
0.2906 0.7906 0.5000 Sn
0.7094 0.2094 0.5000 Sn
0.7828 0.5000 0.2828 Sn


Entry 3:
PBE Tc2AuS, optimized geometry; E above lowest polymorph = 0.96 eV/f.u.; crystal system = tetragonal; formation energy from raw total energies = 0.74 eV/atom; D(E_F) = 10.65 states/eV per cell
1.0
-2.6901 2.6901 5.6787
2.6901 -2.6901 5.6787
2.6901 2.6901 -5.6787
Tc Au S
4 2 2
Direct
0.0657 0.6250 0.9407 Tc
0.3750 0.3157 0.4407 Tc
0.6843 0.1250 0.0593 Tc
0.8750 0.9343 0.5593 Tc
0.2500 0.7500 0.5000 Au
0.5000 0.5000 0.0000 Au
0.0000 0.0000 0.0000 S
0.7500 0.2500 0.5000 S


Entry 4:
PBE La8Sm2Mg, optimized geometry; E above lowest polymorph = 0.00 eV/f.u.; crystal system = monoclinic; E_form = 0.046 eV/atom; D(E_F) = 17.39 states/eV per cell
1.0
8.6988 -2.8718 0.0000
8.6988 2.8718 0.0000
-4.4634 0.0000 7.8845
La Sm Mg
8 2 1
Direct
0.0705 0.0705 0.2189 La
0.1250 0.1250 0.6648 La
0.3195 0.3195 0.5608 La
0.4192 0.4192 0.0663 La
0.5808 0.5808 0.9337 La
0.6805 0.6805 0.4392 La
0.8750 0.8750 0.3352 La
0.9295 0.9295 0.7811 La
0.2339 0.2339 0.1051 Sm
0.7661 0.7661 0.8949 Sm
0.5000 0.5000 0.5000 Mg


Entry 5:
PBE Hg2Se3, optimized geometry; crystal system = trigonal; formation energy from raw total energies = 0.06 eV/atom; D(E_F) = 3.18 states/eV per cell
1.0
2.0347 1.1747 8.3450
-2.0347 1.1747 8.3450
0.0000 -2.3495 8.3450
Hg Se
2 3
Direct
0.0983 0.0983 0.0983 Hg
0.9017 0.9017 0.9017 Hg
0.2977 0.2977 0.2977 Se
0.5000 0.5000 0.5000 Se
0.7023 0.7023 0.7023 Se


Entry 6:
PBE CaReRu3, optimized geometry; E above lowest polymorph = 0.00 eV/f.u.; crystal system = cubic; E_form = 0.929 eV/atom; D(E_F) = 5.60 states/eV per cell
1.0
4.7260 0.0000 0.0000
0.0000 4.7260 0.0000
0.0000 0.0000 4.7260
Ca Re Ru
1 1 3
Direct
0.0000 0.0000 0.0000 Ca
0.5000 0.5000 0.5000 Re
0.0000 0.5000 0.5000 Ru
0.5000 0.0000 0.5000 Ru
0.5000 0.5000 0.0000 Ru


Entry 7:
PBE BaTl2Co, optimized geometry; crystal system = orthorhombic; E_form = 0.134 eV/atom; D(E_F) = 3.36 states/eV per cell
1.0
2.9273 -4.7586 0.0000
2.9273 4.7586 0.0000
0.0000 0.0000 4.2007
Ba Tl Co
1 2 1
Direct
0.0000 0.0000 0.0000 Ba
0.3280 0.6720 0.5000 Tl
0.6720 0.3280 0.5000 Tl
0.5000 0.5000 0.0000 Co


Entry 8:
PBE KCd4In8, optimized geometry; E above lowest polymorph = 2.22 eV/f.u.; crystal system = trigonal; E_form = 0.148 eV/atom; D(E_F) = 4.30 states/eV per cell
1.0
4.5133 2.6057 6.0494
-4.5133 2.6057 6.0494
0.0000 -5.2115 6.0494
K Cd In
1 4 8
Direct
0.0000 0.0000 0.0000 K
0.0000 0.5000 0.5000 Cd
0.5000 0.0000 0.5000 Cd
0.5000 0.5000 0.0000 Cd
0.5000 0.5000 0.5000 Cd
0.1133 0.7077 0.7077 In
0.2795 0.2795 0.2795 In
0.2923 0.2923 0.8867 In
0.2923 0.8867 0.2923 In
0.7077 0.1133 0.7077 In
0.7077 0.7077 0.1133 In
0.7205 0.7205 0.7205 In
0.8867 0.2923 0.2923 In